RbGaTcSn2: optimized geometry, GGA-PBE.

Computed properties:
The space group is No. 123. The density of states at the Fermi level comes out at 3.05 states/eV/f.u. Its density is 5.89 Mg/m³. The total energy is -4.4935 eV/atom. As for the energy relative to the elements: -0.020 eV per atom. Its excess energy over the best structure of this formula in the dataset is 0 meV/atom.

Unit cell a=5.2498 b=5.2498 c=5.0155 alpha=90.00 beta=90.00 gamma=90.00
Atoms (fractional coordinates):
1 Rb 0.0000 0.0000 0.0000
2 Ga 0.5000 0.5000 0.0000
3 Tc 0.5000 0.5000 0.5000
4 Sn 0.0000 0.5000 0.5000
5 Sn 0.5000 0.0000 0.5000